VASP calculation (GGA-PBE) on crystalline GePtSO at its relaxed geometry.

POSCAR file:
```
GePtSO
1.0
6.142 0.000 0.000
0.000 6.435 0.000
0.000 0.000 15.873
Ge Pt S O
8 8 8 8
direct
0.094 0.211 0.200
0.094 0.289 0.700
0.406 0.711 0.200
0.406 0.789 0.700
0.594 0.211 0.300
0.594 0.289 0.800
0.906 0.711 0.300
0.906 0.789 0.800
0.019 0.249 0.048
0.019 0.251 0.548
0.481 0.749 0.048
0.481 0.751 0.548
0.519 0.249 0.452
0.519 0.251 0.952
0.981 0.749 0.452
0.981 0.751 0.952
0.247 0.000 0.488
0.247 0.500 0.988
0.253 0.000 0.988
0.253 0.500 0.488
0.747 0.000 0.012
0.747 0.500 0.512
0.753 0.000 0.512
0.753 0.500 0.012
0.139 0.662 0.739
0.139 0.838 0.239
0.361 0.162 0.739
0.361 0.338 0.239
0.639 0.662 0.761
0.639 0.838 0.261
0.861 0.162 0.761
0.861 0.338 0.261
```

Properties
**Total magnetization**: 0.00 μB/f.u.
**Total energy**: -175.715 eV/cell
**Symmetry**: Pbca